Model a:
Crystalline Ti4NbIr at its relaxed geometry, computed with PBE-GGA.

## Properties
Total moment: 0.0001 μB/atom
Density: 8.04 g/cm3

a = 4.4352 Å, b = 5.3095 Å, c = 5.3239 Å
α = 64.40°, β = 65.38°, γ = 65.31°
Last column: nearest neighbours and their distance in Å.
Fractional coordinates of all 6 atoms:
Ti 0.6604 0.9924 0.6867  2 Ir 2.69, 1 Nb 2.79, 5 Ti 2.80-2.87
Ti 0.3396 0.0076 0.3133  2 Ir 2.69, 1 Nb 2.79, 5 Ti 2.80-2.87
Ti 0.6771 0.4693 0.1766  1 Ir 2.66, 2 Nb 2.75, 5 Ti 2.76-2.87
Ti 0.3229 0.5307 0.8234  1 Ir 2.66, 2 Nb 2.75, 5 Ti 2.76-2.87
Nb 0.0000 0.5000 0.5000  6 Ti 2.75-2.79, 2 Ir 2.83
Ir 0.0000 0.0000 0.0000  6 Ti 2.66-2.69, 2 Nb 2.83

---

Model b:
Crystalline Ti4NbIr at its relaxed geometry, computed with PBE-GGA.

## Properties
Total moment: 0.0000 μB/atom
Density: 6.86 g/cm3

a = 4.3305 Å, b = 4.3310 Å, c = 6.1502 Å
α = 89.99°, β = 89.99°, γ = 90.00°
Last column: nearest neighbours and their distance in Å.
Fractional coordinates of all 6 atoms:
Ti 0.5012 0.9971 0.2550  2 Ir 2.63, 2 Nb 2.68
Ti 0.5014 0.9975 0.7413  2 Ir 2.63, 2 Nb 2.68
Ti 0.0014 0.4974 0.7413  2 Ir 2.63, 2 Nb 2.68
Ti 0.0012 0.4972 0.2550  2 Ir 2.63, 2 Nb 2.68
Nb 0.5013 0.4973 0.9981  8 Ti 2.68
Ir 0.0013 0.9973 0.4982  8 Ti 2.63

---

In terms of stability, model a leads; the second structure lies 47.8 kJ/mol of atoms higher.

---

Model a:
Crystalline NbTlIr2 at its relaxed geometry, computed with PBE-GGA.

## Properties
Total moment: 0.0000 μB/atom
Density: 14.49 g/cm3

a = 7.3827 Å, b = 7.3827 Å, c = 5.9555 Å
α = 51.70°, β = 51.70°, γ = 90.00°
Last column: nearest neighbours and their distance in Å.
Fractional coordinates of all 8 atoms:
Tl 0.0000 0.0000 0.0000  2 Nb 2.87, 4 Ir 2.90
Tl 0.7500 0.2500 0.5000  2 Nb 2.87, 4 Ir 2.90
Ir 0.5875 0.1250 0.2500  2 Nb 2.53
Ir 0.1625 0.6250 0.2500  2 Nb 2.53
Ir 0.3750 0.4125 0.7500  2 Nb 2.53
Ir 0.8750 0.8375 0.7500  2 Nb 2.53
Nb 0.5000 0.5000 0.0000  4 Ir 2.53
Nb 0.2500 0.7500 0.5000  4 Ir 2.53

---

Model b:
Crystalline NbTlIr2 at its relaxed geometry, computed with PBE-GGA.

## Properties
Total moment: 0.0000 μB/atom
Density: 16.24 g/cm3

a = 4.6191 Å, b = 4.6191 Å, c = 4.6191 Å
α = 60.00°, β = 60.00°, γ = 60.00°
Last column: nearest neighbours and their distance in Å.
Fractional coordinates of all 4 atoms:
Tl 0.5000 0.5000 0.5000  8 Ir 2.83
Ir 0.2500 0.2500 0.2500  4 Tl 2.83, 4 Nb 2.83
Ir 0.7500 0.7500 0.7500  4 Tl 2.83, 4 Nb 2.83
Nb 0.0000 0.0000 0.0000  8 Ir 2.83

---

In terms of stability, model b leads; the second structure lies 19.8 kJ/mol of atoms higher.

---

Model a:
Crystalline Nb2TlIr at its relaxed geometry, computed with PBE-GGA.

## Properties
Total moment: 0.0000 μB/atom
Density: 11.83 g/cm3

a = 7.5889 Å, b = 7.5889 Å, c = 6.0706 Å
α = 51.31°, β = 51.31°, γ = 90.00°
Last column: nearest neighbours and their distance in Å.
Fractional coordinates of all 8 atoms:
Tl 0.0000 0.0000 0.0000  2 Ir 2.84, 4 Nb 3.03
Tl 0.7500 0.2500 0.5000  2 Ir 2.84, 4 Nb 3.03
Ir 0.5000 0.5000 0.0000  4 Nb 2.55, 2 Tl 2.84
Ir 0.2500 0.7500 0.5000  4 Nb 2.55, 2 Tl 2.84
Nb 0.5789 0.1250 0.2500  2 Ir 2.55
Nb 0.1711 0.6250 0.2500  2 Ir 2.55
Nb 0.3750 0.4211 0.7500  2 Ir 2.55
Nb 0.8750 0.8289 0.7500  2 Ir 2.55

---

Model b:
Crystalline Nb2TlIr at its relaxed geometry, computed with PBE-GGA.

## Properties
Total moment: 0.0000 μB/atom
Density: 13.15 g/cm3

a = 4.7029 Å, b = 4.7029 Å, c = 4.7029 Å
α = 60.00°, β = 60.00°, γ = 60.00°
Last column: nearest neighbours and their distance in Å.
Fractional coordinates of all 4 atoms:
Tl 0.5000 0.5000 0.5000  8 Nb 2.88
Ir 0.0000 0.0000 0.0000  8 Nb 2.88
Nb 0.2500 0.2500 0.2500  4 Tl 2.88, 4 Ir 2.88
Nb 0.7500 0.7500 0.7500  4 Tl 2.88, 4 Ir 2.88

---

In terms of stability, model b leads; the second structure lies 6.4 kJ/mol of atoms higher.